1.
5
Lattice="4.570 0.000 0.000 0.000 4.570 0.000 0.000 0.000 4.793" Properties=species:S:1:pos:R:3 comment="VRe2PdBr (PBE, relaxed)" formation_energy_uncorrected_mev_per_atom=1778 pbc="T T T"
V 0.000 0.000 0.000
Re 0.000 2.285 0.000
Re 2.285 0.000 0.000
Pd 0.000 0.000 2.396
Br 2.285 2.285 2.396


2.
5
Lattice="4.992 0.000 0.000 0.000 4.992 0.000 0.000 0.000 4.821" Properties=species:S:1:pos:R:3 comment="Zn2RePdBr (PBE, relaxed)" formation_energy_uncorrected_mev_per_atom=1001 pbc="T T T"
Zn 0.000 2.496 0.000
Zn 2.496 0.000 0.000
Re 0.000 0.000 0.000
Pd 0.000 0.000 2.411
Br 2.496 2.496 2.411


3.
4
Lattice="1.855 1.071 7.818 -1.855 1.071 7.818 0.000 -2.142 7.818" Properties=species:S:1:pos:R:3 comment="PdRhBr2 (PBE, relaxed)" de_polymorph_mev_per_atom=0 formation_energy_uncorrected_mev_per_atom=227 pbc="T T T"
Pd 0.000 0.000 0.000
Rh 0.000 0.000 11.727
Br 0.000 0.000 2.445
Br 0.000 0.000 21.008


| no. | uncorrected energy (Ry/atom) |
| --- | --- |
| 1 | -0.470 |
| 2 | -0.248 |
| 3 | -0.275 |